Entry 1:
Density functional theory data (PBE) for a relaxed structure of Ac4TbNd4.

Summary:
The value obtained for the formation energy is 0.0392 eV/atom. As for the crystal system: tetragonal.

Cell: 11.425 11.425 5.379 Å, 90.00 90.00 90.00°
Space group I4/mmm (No. 139)
Unique sites:
1 Ac 0.166 0.166 0.000 [8 per cell]
2 Tb 0.000 0.000 0.500 [2 per cell]
3 Nd 0.000 0.338 0.500 [8 per cell]

Entry 2:
Density functional theory data (PBE) for a relaxed structure of GeSbAu.

Summary:
As for the formation energy from raw total energies: 0.21 eV/atom. The energy above the most stable polymorph in this dataset is 0.1658 eV/atom. As for the crystal system: tetragonal.

Cell: 3.929 3.929 8.714 Å, 90.00 90.00 90.00°
Space group I4mm (No. 107)
Unique sites:
1 Ge 0.000 0.000 0.000 [2 per cell]
2 Sb 0.000 0.000 0.653 [2 per cell]
3 Au 0.000 0.000 0.323 [2 per cell]

Entry 3:
Density functional theory data (PBE) for a relaxed structure of SmPS4Cl.

Summary:
As for the formation energy from raw total energies: -0.83 eV/atom. As for the crystal system: monoclinic.

Cell: 10.682 8.886 8.925 Å, 90.00 96.51 90.00°
Space group C2/m (No. 12)
Unique sites:
1 Sm 0.192 0.000 0.066 [4 per cell]
2 P 0.109 0.500 0.242 [4 per cell]
3 S 0.075 0.500 0.721 [4 per cell]
4 S 0.166 0.324 0.112 [8 per cell]
5 S 0.191 0.500 0.455 [4 per cell]
6 Cl 0.026 0.000 0.809 [4 per cell]

Entry 4:
Density functional theory data (PBE) for a relaxed structure of IrPt2.

Summary:
The energy above the most stable polymorph in this dataset is 0.1396 eV/atom. The value obtained for the formation energy is 0.1797 eV/atom. As for the crystal system: hexagonal.

Cell: 7.6454 7.6454 2.7611 Å, 90.00 90.00 120.00°
Space group P-62m (No. 189)
Unique sites:
1 Ir 0.0000 0.0000 0.0000 [1 per cell]
2 Ir 0.3333 0.6667 0.5000 [2 per cell]
3 Pt 0.0000 0.3011 0.5000 [3 per cell]
4 Pt 0.0000 0.6294 0.0000 [3 per cell]

Entry 5:
Density functional theory data (PBE) for a relaxed structure of KCuSnSe3.

Summary:
As for the formation energy from raw total energies: -0.59 eV/atom. As for the crystal system: monoclinic.

Cell: 9.240 4.065 9.327 Å, 90.00 109.24 90.00°
Space group P2_1/m (No. 11)
Unique sites:
1 K 0.199 0.250 0.247 [2 per cell]
2 Cu 0.067 0.250 0.576 [2 per cell]
3 Sn 0.330 0.750 0.852 [2 per cell]
4 Se 0.128 0.250 0.858 [2 per cell]
5 Se 0.212 0.750 0.542 [2 per cell]
6 Se 0.462 0.750 0.161 [2 per cell]

Entry 6:
Density functional theory data (PBE) for a relaxed structure of TaTl.

Summary:
The energy above the most stable polymorph in this dataset is 0.1263 eV/atom. The value obtained for the formation energy is 0.5856 eV/atom. As for the crystal system: monoclinic.

Cell: 11.415 3.078 5.185 Å, 90.00 106.00 90.00°
Space group C2/m (No. 12)
Unique sites:
1 Ta 0.151 0.000 0.395 [4 per cell]
2 Tl 0.112 0.500 0.865 [4 per cell]

The records above yield calculated total energy values of -4.42; -3.80; -4.90; -6.80; -3.86; -6.52 eV/atom, respectively.